First-principles (PBE) data for an optimized crystal structure of PuHf2Tl, as listed in Alexandria via LeMat-Bulk.

a = 3.3207 Å, b = 3.3207 Å, c = 8.4732 Å
α = 90.00°, β = 90.00°, γ = 90.00°
Closest atoms and distances in Å follow each position.
Fractional coordinates of all 4 atoms:
Tl  0.5000  0.5000  0.5000  8 Hf 3.14, 4 Tl 3.32
Hf  0.0000  0.0000  0.7459  4 Tl 3.14, 4 Pu 3.19, 4 Hf 3.32
Hf  0.0000  0.0000  0.2541  4 Tl 3.14, 4 Pu 3.19, 4 Hf 3.32
Pu  0.5000  0.5000  0.0000  8 Hf 3.19, 4 Pu 3.32

Values from the calculation:
- DFT formation energy: 0.14 eV per atom
- Relative energy among the computed polymorphs: 0.039 eV/atom
- Energy: -36.035 eV per cell